Record 1
Pr3SmP4 after structural relaxation. Source: Alexandria, functional PBE-GGA.

Values from the calculation:
calculated volume = 206.6 Å³ per cell
size of the total moment = 0.00 μB per formula unit
crystal system = cubic
energy relative to the elements = -1.5285 eV/atom
E = -6.62 eV per atom
D(E_F) = 0.989 states/eV per cell

Cell: 5.9113 5.9113 5.9113 Å, 90.00 90.00 90.00°
With the nearest neighbours (Å) after each atom.
Space group Pm-3m (No. 221)
Unique sites:
Pr: 0.0000 0.0000 0.5000 [3 per cell]  6 P 2.96
Sm: 0.5000 0.5000 0.5000 [1 per cell]  6 P 2.96
P: 0.0000 0.0000 0.0000 [1 per cell]  6 Pr 2.96
P: 0.0000 0.5000 0.5000 [3 per cell]  4 Pr 2.96, 2 Sm 2.96

=====

Record 2
PrSm4P5 after structural relaxation. Source: Alexandria, functional PBE-GGA.

Values from the calculation:
calculated volume = 497.4 Å³ per cell
size of the total moment = 0.00 μB per formula unit
crystal system = monoclinic
energy relative to the elements = -1.5585 eV/atom
E = -6.63 eV per atom
D(E_F) = 2.765 states/eV per cell

Cell: 13.6811 4.1314 10.1122 Å, 90.00 119.51 90.00°
With the nearest neighbours (Å) after each atom.
Space group C2/m (No. 12)
Unique sites:
Pr: 0.0000 0.0000 0.0000 [2 per cell]  6 P 2.94-2.95
Sm: 0.0994 0.5000 0.4001 [4 per cell]  6 P 2.90-2.92
Sm: 0.2003 0.0000 0.7986 [4 per cell]  6 P 2.90-2.92
P: 0.0000 0.0000 0.5000 [2 per cell]  6 Sm 2.91
P: 0.1021 0.5000 0.8983 [4 per cell]  4 Sm 2.90-2.92, 2 Pr 2.95
P: 0.2012 0.0000 0.3030 [4 per cell]  5 Sm 2.90-2.92, 1 Pr 2.94

=====

Record 3
PrSm3P4 after structural relaxation. Source: Alexandria, functional PBE-GGA.

Values from the calculation:
calculated volume = 399.2 Å³ per cell
size of the total moment = 0.00 μB per formula unit
crystal system = orthorhombic
energy relative to the elements = -1.5558 eV/atom
E = -6.63 eV per atom
D(E_F) = 1.353 states/eV per cell

Cell: 8.2643 11.6830 4.1345 Å, 90.00 90.00 90.00°
With the nearest neighbours (Å) after each atom.
Space group Cmmm (No. 65)
Unique sites:
Pr: 0.0000 0.0000 0.0000 [2 per cell]  6 P 2.94-2.95
Sm: 0.0000 0.5000 0.0000 [2 per cell]  6 P 2.90
Sm: 0.2500 0.2500 0.5000 [4 per cell]  6 P 2.92
P: 0.0000 0.2518 0.0000 [4 per cell]  5 Sm 2.90-2.92, 1 Pr 2.94
P: 0.2462 0.5000 0.5000 [4 per cell]  4 Sm 2.90-2.92, 2 Pr 2.95

=====

Record 4
Pr4SmP5 after structural relaxation. Source: Alexandria, functional PBE-GGA.

Values from the calculation:
calculated volume = 518.6 Å³ per cell
size of the total moment = 0.00 μB per formula unit
crystal system = tetragonal
energy relative to the elements = -1.5265 eV/atom
E = -6.62 eV per atom
D(E_F) = 0.975 states/eV per cell

Cell: 9.3601 9.3601 5.9195 Å, 90.00 90.00 90.00°
With the nearest neighbours (Å) after each atom.
Space group I4/m (No. 87)
Unique sites:
Pr: 0.0994 0.7003 0.0000 [8 per cell]  6 P 2.96-2.98
Sm: 0.0000 0.0000 0.5000 [2 per cell]  6 P 2.93-2.96
P: 0.0000 0.0000 0.0000 [2 per cell]  4 Pr 2.96, 2 Sm 2.96
P: 0.0990 0.7028 0.5000 [8 per cell]  1 Sm 2.93, 5 Pr 2.96-2.98

=====

Record 5
Tb3Pr2SmP6 after structural relaxation. Source: Alexandria, functional PBE-GGA.

Values from the calculation:
calculated volume = 585.1 Å³ per cell
size of the total moment = 0.00 μB per formula unit
crystal system = monoclinic
energy relative to the elements = -1.5656 eV/atom
E = -6.62 eV per atom
D(E_F) = 3.415 states/eV per cell

Cell: 17.8692 4.1027 8.1997 Å, 90.00 103.25 90.00°
With the nearest neighbours (Å) after each atom.
Space group C2/m (No. 12)
Unique sites:
Tb: 0.0000 0.0000 0.0000 [2 per cell]  6 P 2.86-2.88
Tb: 0.1668 0.5000 0.3338 [4 per cell]  6 P 2.86-2.88
Pr: 0.1661 0.5000 0.8325 [4 per cell]  6 P 2.93-2.95
Sm: 0.0000 0.0000 0.5000 [2 per cell]  6 P 2.91-2.92
P: 0.0025 0.5000 0.2483 [4 per cell]  3 Tb 2.86-2.88, 2 Sm 2.92, 1 Pr 2.93
P: 0.1643 0.0000 0.0892 [4 per cell]  3 Tb 2.86, 3 Pr 2.94-2.95
P: 0.1675 0.0000 0.5766 [4 per cell]  3 Tb 2.86-2.88, 1 Sm 2.91, 2 Pr 2.94

=====

Record 6
Tb3PrSm2P6 after structural relaxation. Source: Alexandria, functional PBE-GGA.

Values from the calculation:
calculated volume = 578.3 Å³ per cell
size of the total moment = 0.00 μB per formula unit
crystal system = monoclinic
energy relative to the elements = -1.5775 eV/atom
E = -6.62 eV per atom
D(E_F) = 3.062 states/eV per cell

Cell: 7.0752 12.2527 7.0743 Å, 90.00 109.45 90.00°
With the nearest neighbours (Å) after each atom.
Space group C2/m (No. 12)
Unique sites:
Tb: 0.0000 0.0000 0.0000 [2 per cell]  6 P 2.85-2.87
Tb: 0.0000 0.3338 0.0000 [4 per cell]  6 P 2.85-2.87
Pr: 0.0000 0.5000 0.5000 [2 per cell]  6 P 2.93
Sm: 0.0000 0.1668 0.5000 [4 per cell]  6 P 2.90-2.91
P: 0.2462 0.1682 0.2433 [8 per cell]  3 Tb 2.85-2.87, 2 Sm 2.90-2.91, 1 Pr 2.93
P: 0.2491 0.0000 0.7566 [4 per cell]  3 Tb 2.85-2.87, 2 Sm 2.91, 1 Pr 2.93

=====

Record 7
Tb2PrSmP4 after structural relaxation. Source: Alexandria, functional PBE-GGA.

Values from the calculation:
calculated volume = 388.0 Å³ per cell
size of the total moment = 0.00 μB per formula unit
crystal system = tetragonal
energy relative to the elements = -1.5650 eV/atom
E = -6.61 eV per atom
D(E_F) = 1.844 states/eV per cell

Cell: 5.7874 5.7874 11.5852 Å, 90.00 90.00 90.00°
With the nearest neighbours (Å) after each atom.
Space group I4/mmm (No. 139)
Unique sites:
Tb: 0.0000 0.5000 0.2500 [4 per cell]  6 P 2.89-2.90
Pr: 0.0000 0.0000 0.0000 [2 per cell]  6 P 2.89-2.92
Sm: 0.0000 0.0000 0.5000 [2 per cell]  6 P 2.87-2.89
P: 0.0000 0.0000 0.2522 [4 per cell]  1 Sm 2.87, 4 Tb 2.89, 1 Pr 2.92
P: 0.0000 0.5000 0.0000 [4 per cell]  2 Sm 2.89, 2 Pr 2.89, 2 Tb 2.90

=====

Record 8
PrSmTeP after structural relaxation. Source: Alexandria, functional PBE-GGA.

Values from the calculation:
calculated volume = 344.0 Å³ per cell
size of the total moment = 0.00 μB per formula unit
crystal system = trigonal
E = -6.06 eV per atom
formation energy without anion corrections = -1.544 eV/atom
D(E_F) = 8.415 states/eV per cell

Cell: 4.2068 4.2068 22.4490 Å, 90.00 90.00 120.00°
With the nearest neighbours (Å) after each atom.
Space group R3m (No. 160, hexagonal axes)
Unique sites:
Pr: 0.0000 0.0000 0.0000 [3 per cell]  3 P 2.94, 3 Te 3.29
Sm: 0.0000 0.0000 0.8075 [3 per cell]  3 P 2.86
Te: 0.0000 0.0000 0.2347 [3 per cell]  3 Sm 3.22, 3 Pr 3.29
P: 0.0000 0.0000 0.4072 [3 per cell]  3 Sm 2.86, 3 Pr 2.94

=====

What is the calculated volume in the sixth record?
578.3 Å³ per cell